Record 1
## CaAcCeAl (PBE)

Data for crystalline CaAcCeAl at its relaxed geometry.

```
CaAcCeAl
1.0
5.624 0.000 0.000
2.812 4.871 0.000
2.812 1.624 4.592
Al Ac Ce Ca
1 1 1 1
Cartesian
5.624 3.247 2.296
0.000 0.000 0.000
8.436 4.871 3.444
2.812 1.624 1.148
```

## Properties
The calculation puts the formation energy at 0.178 eV per atom. Its crystal system is cubic. As for the density of states at the Fermi level: 9.68 states/eV/cell. The total magnetization is 1.9 Bohr magnetons per cell.

---

Record 2
## Tc2OsRu (PBE)

Data for crystalline Tc2OsRu at its relaxed geometry.

```
Tc2OsRu
1.0
3.399 -2.623 0.759
1.327 -0.720 4.090
-0.627 -3.903 1.840
Tc Os Ru
2 1 1
Cartesian
1.025 -1.812 1.672
3.075 -5.435 5.017
2.050 -3.623 3.345
0.000 0.000 0.000
```

## Properties
The calculation puts the formation energy at 0.491 eV per atom. Its crystal system is cubic. As for the density of states at the Fermi level: 7.40 states/eV/cell. The total magnetization is 0.0 Bohr magnetons per cell. The calculation puts the energy above the lowest structure with this stoichiometry at 569 meV per atom.

---

Record 3
## CoSiOs2I (PBE)

Data for crystalline CoSiOs2I at its relaxed geometry.

```
CoSiOs2I
1.0
4.409 0.000 0.000
0.000 5.210 0.000
0.000 0.000 4.409
I Si Os Co
1 1 2 1
Cartesian
0.000 2.605 0.000
0.000 0.000 0.000
2.204 0.000 0.000
0.000 0.000 2.204
2.204 2.605 2.204
```

## Properties
Its crystal system is tetragonal. As for the density of states at the Fermi level: 7.23 states/eV/cell. The total magnetization is 0.0 Bohr magnetons per cell. The calculation puts the formation energy without anion corrections at 2.017 eV per atom.

---

Record 4
## PmDy2Sb (PBE)

Data for crystalline PmDy2Sb at its relaxed geometry.

```
PmDy2Sb
1.0
-1.181 -2.365 -3.021
2.692 -1.382 -2.638
1.918 -8.965 3.600
Pm Dy Sb
1 2 1
Cartesian
1.712 -6.344 -1.038
1.634 -7.414 2.498
0.788 -2.802 -0.782
1.009 -2.508 -3.766
```

## Properties
Its crystal system is trigonal. As for the density of states at the Fermi level: 4.42 states/eV/cell. The total magnetization is 0.7 Bohr magnetons per cell. The calculation puts the energy above the lowest structure with this stoichiometry at 220 meV per atom. The calculation puts the formation energy without anion corrections at -0.341 eV per atom.

---

Record 5
## Zr2Cu2Ir (PBE)

Data for crystalline Zr2Cu2Ir at its relaxed geometry.

```
Zr2Cu2Ir
1.0
3.981 -0.013 -1.306
-2.203 3.563 -0.022
-0.144 -0.045 6.287
Zr Cu Ir
2 2 1
Cartesian
2.305 1.426 0.299
-0.672 2.080 4.660
0.842 0.538 2.566
0.791 2.968 2.393
0.000 0.000 0.000
```

## Properties
The calculation puts the formation energy at -0.360 eV per atom. Its crystal system is trigonal. As for the density of states at the Fermi level: 4.03 states/eV/cell. The total magnetization is 0.0 Bohr magnetons per cell. The calculation puts the energy above the lowest structure with this stoichiometry at 0 meV per atom.

---

Record 6
## Tb2Dy12Th5 (PBE)

Data for crystalline Tb2Dy12Th5 at its relaxed geometry.

```
Tb2Dy12Th5
1.0
-6.996 0.579 -0.063
2.732 -9.569 -0.269
-0.438 -4.275 9.303
Th Dy Tb
5 12 2
Cartesian
-4.116 -6.391 7.217
-0.219 -2.137 4.652
-4.056 -6.293 1.434
-0.645 -6.971 7.537
-0.585 -6.873 1.754
-4.322 -9.448 1.927
-3.799 -2.669 6.241
-0.379 -3.816 7.044
-2.214 -5.015 4.349
1.014 -8.539 4.654
-5.573 -3.064 1.128
-2.024 -3.358 1.160
-2.487 -8.249 4.622
-2.677 -9.906 7.811
-5.715 -4.725 4.317
0.872 -10.200 7.843
-0.902 -10.595 2.730
-1.975 0.164 -0.018
-5.021 0.416 -0.045
```

## Properties
The calculation puts the formation energy at 0.215 eV per atom. Its crystal system is monoclinic. As for the density of states at the Fermi level: 30.39 states/eV/cell. The total magnetization is 0.0 Bohr magnetons per cell. The calculation puts the energy above the lowest structure with this stoichiometry at 60 meV per atom.